Compound: RbMnZnF6
Source: the Alexandria database
Functional: PBE+U
Structure: optimized geometry

## Properties
total energy = -4.72 eV/atom
density = 3.48 g cm⁻³
space group = C2, No. 5
calculated volume = 16.960 A^3/atom

Cell lengths 5.3844, 5.3850, 6.0683 Å; angles 89.97, 90.06, 60.17 degrees
Positions (direct):
F  0.9808  0.6304  0.6780
F  0.6294  0.3912  0.6800
F  0.6301  0.9807  0.3218
F  0.9825  0.3878  0.3197
F  0.3880  0.9827  0.6804
F  0.3910  0.6293  0.3201
Rb  0.9991  0.9990  0.0000
Mn  0.6659  0.6660  0.5000
Zn  0.3330  0.3329  0.5000